Version one
First-principles (PBE) data for an optimized crystal structure of CaTa2Au, as listed in Alexandria.

Calculated values
**DOS(E_F)**: 3.93 states/eV/f.u.
**Spin magnetization**: 0.0 μB/cell
**SG**: I-42d, No. 122

```
data_CaTa2Au
_chemical_formula_sum 'Ca4 Ta8 Au4'
_cell_length_a 3.964
_cell_length_b 3.964
_cell_length_c 22.012
_cell_angle_alpha 90.00
_cell_angle_beta 90.00
_cell_angle_gamma 90.00
_space_group_name_H-M_alt 'P 1'
_space_group_IT_number 1
_space_group_name_Hall 'P 1'
loop_
_atom_site_label
_atom_site_fract_x
_atom_site_fract_y
_atom_site_fract_z
Ca1 0.000 0.000 0.000
Ca2 0.000 0.500 0.250
Ca3 0.500 0.000 0.750
Ca4 0.500 0.500 0.500
Ta1 0.236 0.250 0.625
Ta2 0.250 0.736 0.875
Ta3 0.250 0.764 0.375
Ta4 0.264 0.250 0.125
Ta5 0.736 0.750 0.125
Ta6 0.750 0.236 0.375
Ta7 0.750 0.264 0.875
Ta8 0.764 0.750 0.625
Au1 0.000 0.000 0.500
Au2 0.000 0.500 0.750
Au3 0.500 0.000 0.250
Au4 0.500 0.500 0.000
```

Version two
First-principles (PBE) data for an optimized crystal structure of CaTa2Au, as listed in Alexandria.

Calculated values
**DOS(E_F)**: 3.06 states/eV/f.u.
**Spin magnetization**: 0.0 μB/cell
**SG**: P2/m, No. 10

```
data_CaTa2Au
_chemical_formula_sum 'Ca1 Ta2 Au1'
_cell_length_a 3.058
_cell_length_b 5.430
_cell_length_c 5.006
_cell_angle_alpha 90.00
_cell_angle_beta 93.66
_cell_angle_gamma 90.00
_space_group_name_H-M_alt 'P 1'
_space_group_IT_number 1
_space_group_name_Hall 'P 1'
loop_
_atom_site_label
_atom_site_fract_x
_atom_site_fract_y
_atom_site_fract_z
Ca1 0.000 0.000 0.000
Ta1 0.341 0.500 0.742
Ta2 0.659 0.500 0.258
Au1 0.500 0.000 0.500
```

Version three
First-principles (PBE) data for an optimized crystal structure of CaTa2Au, as listed in Alexandria.

Calculated values
**DOS(E_F)**: 3.60 states/eV/f.u.
**Spin magnetization**: 0.0 μB/cell
**SG**: Immm, No. 71

```
data_CaTa2Au
_chemical_formula_sum 'Ca2 Ta4 Au2'
_cell_length_a 3.027
_cell_length_b 4.907
_cell_length_c 11.226
_cell_angle_alpha 90.00
_cell_angle_beta 90.00
_cell_angle_gamma 90.00
_space_group_name_H-M_alt 'P 1'
_space_group_IT_number 1
_space_group_name_Hall 'P 1'
loop_
_atom_site_label
_atom_site_fract_x
_atom_site_fract_y
_atom_site_fract_z
Ca1 0.000 0.000 0.000
Ca2 0.500 0.500 0.500
Ta1 0.000 0.500 0.222
Ta2 0.000 0.500 0.778
Ta3 0.500 0.000 0.278
Ta4 0.500 0.000 0.722
Au1 0.000 0.000 0.500
Au2 0.500 0.500 0.000
```

Version four
First-principles (PBE) data for an optimized crystal structure of CaTa2Au, as listed in Alexandria.

Calculated values
**DOS(E_F)**: 5.61 states/eV/f.u.
**Spin magnetization**: 0.0 μB/cell
**SG**: P4/mmm, No. 123

```
data_CaTa2Au
_chemical_formula_sum 'Ca1 Ta2 Au1'
_cell_length_a 4.006
_cell_length_b 4.006
_cell_length_c 5.089
_cell_angle_alpha 90.00
_cell_angle_beta 90.00
_cell_angle_gamma 90.00
_space_group_name_H-M_alt 'P 1'
_space_group_IT_number 1
_space_group_name_Hall 'P 1'
loop_
_atom_site_label
_atom_site_fract_x
_atom_site_fract_y
_atom_site_fract_z
Ca1 0.000 0.000 0.000
Ta1 0.000 0.500 0.500
Ta2 0.500 0.000 0.500
Au1 0.500 0.500 0.000
```

Best to worst by energy: version three, version two, version four, version one.

Version one
First-principles (PBE) data for an optimized crystal structure of CaTa2Au, as listed in Alexandria.

Calculated values
**DOS(E_F)**: 4.57 states/eV/f.u.
**Spin magnetization**: 2.3 μB/cell
**SG**: R3m, No. 160

```
data_CaTa2Au
_chemical_formula_sum 'Ca3 Ta6 Au3'
_cell_length_a 3.269
_cell_length_b 3.269
_cell_length_c 28.308
_cell_angle_alpha 90.00
_cell_angle_beta 90.00
_cell_angle_gamma 120.00
_space_group_name_H-M_alt 'P 1'
_space_group_IT_number 1
_space_group_name_Hall 'P 1'
loop_
_atom_site_label
_atom_site_fract_x
_atom_site_fract_y
_atom_site_fract_z
Ca1 0.000 0.000 0.000
Ca2 0.333 0.667 0.667
Ca3 0.667 0.333 0.333
Ta1 0.000 0.000 0.233
Ta2 0.000 0.000 0.497
Ta3 0.333 0.667 0.163
Ta4 0.333 0.667 0.900
Ta5 0.667 0.333 0.567
Ta6 0.667 0.333 0.830
Au1 0.000 0.000 0.754
Au2 0.333 0.667 0.420
Au3 0.667 0.333 0.087
```

Version two
First-principles (PBE) data for an optimized crystal structure of CaTa2Au, as listed in Alexandria.

Calculated values
**DOS(E_F)**: 4.69 states/eV/f.u.
**Spin magnetization**: 0.0 μB/cell
**SG**: I4/mmm, No. 139

```
data_CaTa2Au
_chemical_formula_sum 'Ca2 Ta4 Au2'
_cell_length_a 4.022
_cell_length_b 4.022
_cell_length_c 10.055
_cell_angle_alpha 90.00
_cell_angle_beta 90.00
_cell_angle_gamma 90.00
_space_group_name_H-M_alt 'P 1'
_space_group_IT_number 1
_space_group_name_Hall 'P 1'
loop_
_atom_site_label
_atom_site_fract_x
_atom_site_fract_y
_atom_site_fract_z
Ca1 0.000 0.000 0.000
Ca2 0.500 0.500 0.500
Ta1 0.000 0.500 0.250
Ta2 0.000 0.500 0.750
Ta3 0.500 0.000 0.250
Ta4 0.500 0.000 0.750
Au1 0.000 0.000 0.500
Au2 0.500 0.500 0.000
```

Best to worst by energy: version one, version two.

Version one
First-principles (PBE) data for an optimized crystal structure of CaTa2Au, as listed in Alexandria.

Calculated values
**DOS(E_F)**: 3.61 states/eV/f.u.
**Spin magnetization**: 0.0 μB/cell
**SG**: Cmm2, No. 35

```
data_CaTa2Au
_chemical_formula_sum 'Ca2 Ta4 Au2'
_cell_length_a 3.809
_cell_length_b 4.511
_cell_length_c 9.497
_cell_angle_alpha 90.00
_cell_angle_beta 90.00
_cell_angle_gamma 90.00
_space_group_name_H-M_alt 'P 1'
_space_group_IT_number 1
_space_group_name_Hall 'P 1'
loop_
_atom_site_label
_atom_site_fract_x
_atom_site_fract_y
_atom_site_fract_z
Ca1 0.000 0.000 0.000
Ca2 0.500 0.500 0.000
Ta1 0.000 0.000 0.523
Ta2 0.000 0.500 0.298
Ta3 0.500 0.000 0.298
Ta4 0.500 0.500 0.523
Au1 0.000 0.500 0.749
Au2 0.500 0.000 0.749
```

Version two
First-principles (PBE) data for an optimized crystal structure of CaTa2Au, as listed in Alexandria.

Calculated values
**DOS(E_F)**: 4.18 states/eV/f.u.
**Spin magnetization**: 0.0 μB/cell
**SG**: P4mm, No. 99

```
data_CaTa2Au
_chemical_formula_sum 'Ca1 Ta2 Au1'
_cell_length_a 3.449
_cell_length_b 3.449
_cell_length_c 7.274
_cell_angle_alpha 90.00
_cell_angle_beta 90.00
_cell_angle_gamma 90.00
_space_group_name_H-M_alt 'P 1'
_space_group_IT_number 1
_space_group_name_Hall 'P 1'
loop_
_atom_site_label
_atom_site_fract_x
_atom_site_fract_y
_atom_site_fract_z
Ca1 0.000 0.000 0.000
Ta1 0.000 0.000 0.492
Ta2 0.500 0.500 0.319
Au1 0.500 0.500 0.732
```

Best to worst by energy: version two, version one.

Version one
First-principles (PBE) data for an optimized crystal structure of CaTa2Au, as listed in Alexandria.

Calculated values
**DOS(E_F)**: 4.57 states/eV/f.u.
**Spin magnetization**: 0.0 μB/cell
**SG**: Fm-3m, No. 225

```
data_CaTa2Au
_chemical_formula_sum 'Ca4 Ta8 Au4'
_cell_length_a 6.774
_cell_length_b 6.774
_cell_length_c 6.774
_cell_angle_alpha 90.00
_cell_angle_beta 90.00
_cell_angle_gamma 90.00
_space_group_name_H-M_alt 'P 1'
_space_group_IT_number 1
_space_group_name_Hall 'P 1'
loop_
_atom_site_label
_atom_site_fract_x
_atom_site_fract_y
_atom_site_fract_z
Ca1 0.000 0.000 0.000
Ca2 0.000 0.500 0.500
Ca3 0.500 0.000 0.500
Ca4 0.500 0.500 0.000
Ta1 0.250 0.250 0.250
Ta2 0.250 0.250 0.750
Ta3 0.250 0.750 0.250
Ta4 0.250 0.750 0.750
Ta5 0.750 0.250 0.250
Ta6 0.750 0.250 0.750
Ta7 0.750 0.750 0.250
Ta8 0.750 0.750 0.750
Au1 0.000 0.000 0.500
Au2 0.000 0.500 0.000
Au3 0.500 0.000 0.000
Au4 0.500 0.500 0.500
```

Version two
First-principles (PBE) data for an optimized crystal structure of CaTa2Au, as listed in Alexandria.

Calculated values
**DOS(E_F)**: 5.39 states/eV/f.u.
**Spin magnetization**: 0.0 μB/cell
**SG**: P4/mmm, No. 123

```
data_CaTa2Au
_chemical_formula_sum 'Ca1 Ta2 Au1'
_cell_length_a 2.916
_cell_length_b 2.916
_cell_length_c 9.720
_cell_angle_alpha 90.00
_cell_angle_beta 90.00
_cell_angle_gamma 90.00
_space_group_name_H-M_alt 'P 1'
_space_group_IT_number 1
_space_group_name_Hall 'P 1'
loop_
_atom_site_label
_atom_site_fract_x
_atom_site_fract_y
_atom_site_fract_z
Ca1 0.000 0.000 0.000
Ta1 0.500 0.500 0.285
Ta2 0.500 0.500 0.715
Au1 0.000 0.000 0.500
```

Version three
First-principles (PBE) data for an optimized crystal structure of CaTa2Au, as listed in Alexandria.

Calculated values
**DOS(E_F)**: 4.55 states/eV/f.u.
**Spin magnetization**: 0.0 μB/cell
**SG**: P4/mmm, No. 123

```
data_CaTa2Au
_chemical_formula_sum 'Ca1 Ta2 Au1'
_cell_length_a 3.665
_cell_length_b 3.665
_cell_length_c 6.699
_cell_angle_alpha 90.00
_cell_angle_beta 90.00
_cell_angle_gamma 90.00
_space_group_name_H-M_alt 'P 1'
_space_group_IT_number 1
_space_group_name_Hall 'P 1'
loop_
_atom_site_label
_atom_site_fract_x
_atom_site_fract_y
_atom_site_fract_z
Ca1 0.000 0.000 0.000
Ta1 0.500 0.500 0.319
Ta2 0.500 0.500 0.681
Au1 0.000 0.000 0.500
```

Version four
First-principles (PBE) data for an optimized crystal structure of CaTa2Au, as listed in Alexandria.

Calculated values
**DOS(E_F)**: 3.25 states/eV/f.u.
**Spin magnetization**: 0.0 μB/cell
**SG**: Cm, No. 8

```
data_CaTa2Au
_chemical_formula_sum 'Ca2 Ta4 Au2'
_cell_length_a 10.475
_cell_length_b 2.962
_cell_length_c 5.824
_cell_angle_alpha 90.00
_cell_angle_beta 112.87
_cell_angle_gamma 90.00
_space_group_name_H-M_alt 'P 1'
_space_group_IT_number 1
_space_group_name_Hall 'P 1'
loop_
_atom_site_label
_atom_site_fract_x
_atom_site_fract_y
_atom_site_fract_z
Ca1 0.000 0.000 0.000
Ca2 0.500 0.500 0.000
Ta1 0.056 0.500 0.516
Ta2 0.307 0.500 0.404
Ta3 0.556 0.000 0.516
Ta4 0.807 0.000 0.404
Au1 0.252 0.000 0.937
Au2 0.752 0.500 0.937
```

Best to worst by energy: version four, version two, version three, version one.

Version one
First-principles (PBE) data for an optimized crystal structure of CaTa2Au, as listed in Alexandria.

Calculated values
**DOS(E_F)**: 4.48 states/eV/f.u.
**Spin magnetization**: 0.0 μB/cell
**SG**: Pmmm, No. 47

```
data_CaTa2Au
_chemical_formula_sum 'Ca1 Ta2 Au1'
_cell_length_a 3.258
_cell_length_b 4.652
_cell_length_c 5.345
_cell_angle_alpha 90.00
_cell_angle_beta 90.00
_cell_angle_gamma 90.00
_space_group_name_H-M_alt 'P 1'
_space_group_IT_number 1
_space_group_name_Hall 'P 1'
loop_
_atom_site_label
_atom_site_fract_x
_atom_site_fract_y
_atom_site_fract_z
Ca1 0.000 0.000 0.000
Ta1 0.000 0.500 0.500
Ta2 0.500 0.000 0.500
Au1 0.500 0.500 0.000
```

Version two
First-principles (PBE) data for an optimized crystal structure of CaTa2Au, as listed in Alexandria.

Calculated values
**DOS(E_F)**: 3.64 states/eV/f.u.
**Spin magnetization**: 0.0 μB/cell
**SG**: R-3m, No. 166

```
data_CaTa2Au
_chemical_formula_sum 'Ca3 Ta6 Au3'
_cell_length_a 3.001
_cell_length_b 3.001
_cell_length_c 31.338
_cell_angle_alpha 90.00
_cell_angle_beta 90.00
_cell_angle_gamma 120.00
_space_group_name_H-M_alt 'P 1'
_space_group_IT_number 1
_space_group_name_Hall 'P 1'
loop_
_atom_site_label
_atom_site_fract_x
_atom_site_fract_y
_atom_site_fract_z
Ca1 0.000 0.000 0.000
Ca2 0.333 0.667 0.667
Ca3 0.667 0.333 0.333
Ta1 0.000 0.000 0.242
Ta2 0.000 0.000 0.758
Ta3 0.333 0.667 0.424
Ta4 0.333 0.667 0.909
Ta5 0.667 0.333 0.091
Ta6 0.667 0.333 0.576
Au1 0.000 0.000 0.500
Au2 0.333 0.667 0.167
Au3 0.667 0.333 0.833
```

Best to worst by energy: version one, version two.